Record 1
Ho2PuRh, relaxed, DFT PBE-GGA; ΔE_f = -0.06 eV per atom; total DFT energy (no corrections) = -7.7696 eV/atom; polymorph energy (0 for the lowest one) = 1.20 eV/f.u.
1.0
-1.667 -0.657 -3.107
-2.405 -2.652 -0.219
-8.851 5.477 1.522
Rh Ho Pu
1 2 1
Direct
0.500 0.500 0.500
0.109 0.109 0.672
0.891 0.891 0.328
0.000 0.000 0.000

---

Record 2
InTePbCl, relaxed, DFT PBE-GGA; ΔE_f (raw) = -0.543 eV per atom; total DFT energy (no corrections) = -3.4014 eV/atom; polymorph energy (0 for the lowest one) = 0.00 eV/f.u.
1.0
-1.431 -5.280 0.484
0.566 -2.568 4.821
-11.084 0.582 4.738
In Te Pb Cl
2 2 2 2
Direct
0.618 0.618 0.145
0.382 0.382 0.855
0.116 0.116 0.651
0.884 0.884 0.349
0.793 0.793 0.621
0.207 0.207 0.379
0.701 0.701 0.898
0.299 0.299 0.102